# 1
A relaxed structure of NaW2, computed with PBE-GGA.

Its magnetic moment is 0.0 μB per formula unit. For the total energy, the calculation gives -8.00 eV/atom.

Cell: 7.6882 7.6882 7.6882 Å, 90.00 90.00 90.00°
With the nearest neighbours (Å) after each atom.
Space group Fd-3m (No. 227, origin choice 2)
Asymmetric unit:
Na (0.1250, 0.1250, 0.1250) x8  12 W 3.19, 4 Na 3.33
W (0.0000, 0.0000, 0.5000) x16  6 W 2.72

---

# 2
A relaxed structure of NaW, computed with PBE-GGA.

Its magnetic moment is 0.0 μB per formula unit. For the total energy, the calculation gives -4.52 eV/atom.

Cell: 4.6252 4.6252 3.7253 Å, 90.00 90.00 120.00°
With the nearest neighbours (Å) after each atom.
Space group P6_3/mmc (No. 194)
Asymmetric unit:
Na (0.0000, 0.0000, 0.0000) x2  2 Na 1.86
W (0.3333, 0.6667, 0.2500) x2  6 Na 2.83

---

# 3
A relaxed structure of NaW2, computed with PBE-GGA.

Its magnetic moment is 11.0 μB per formula unit. For the total energy, the calculation gives -3.92 eV/atom.

Cell: 13.6965 13.6965 13.6965 Å, 90.00 90.00 90.00°
With the nearest neighbours (Å) after each atom.
Space group Fd-3m (No. 227, origin choice 2)
Asymmetric unit:
Na (0.1250, 0.1250, 0.1250) x8  4 W 2.97
W (0.0000, 0.0000, 0.0000) x16  2 Na 2.97

---

# 4
A relaxed structure of NaW, computed with PBE-GGA.

Its magnetic moment is 0.0 μB per formula unit. For the total energy, the calculation gives -6.15 eV/atom.

Cell: 2.7594 2.7594 5.6544 Å, 90.00 90.00 120.00°
With the nearest neighbours (Å) after each atom.
Space group P-6m2 (No. 187)
Asymmetric unit:
Na (0.0000, 0.0000, 0.0000) x1  6 Na 2.76
W (0.6667, 0.3333, 0.5000) x1  6 W 2.76

---

# 5
A relaxed structure of NaW, computed with PBE-GGA.

Its magnetic moment is 5.0 μB per formula unit. For the total energy, the calculation gives -3.92 eV/atom.

Cell: 6.2093 6.2093 6.2093 Å, 90.00 90.00 90.00°
With the nearest neighbours (Å) after each atom.
Space group Fm-3m (No. 225)
Asymmetric unit:
Na (0.0000, 0.0000, 0.0000) x4  6 W 3.10
W (0.0000, 0.0000, 0.5000) x4  6 Na 3.10

---

# 6
A relaxed structure of NaW5, computed with PBE-GGA.

Its magnetic moment is 0.0 μB per formula unit. For the total energy, the calculation gives -10.23 eV/atom.

Cell: 5.4530 5.4530 4.4254 Å, 90.00 90.00 120.00°
With the nearest neighbours (Å) after each atom.
Space group P6/mmm (No. 191)
Asymmetric unit:
Na (0.0000, 0.0000, 0.0000) x1  18 W 3.15-3.51
W (0.0000, 0.5000, 0.5000) x3  8 W 2.72-2.73
W (0.3333, 0.6667, 0.0000) x2  6 W 2.72